Record 1
This record from Alexandria describes a geometry-optimized Pr9Ga5Se21 structure. The functional is PBE-GGA.

Cell: 18.1716 18.1716 19.5611 Å, 90.00 90.00 120.00°
Space group R3 (No. 146, hexagonal axes)
Asymmetric unit:
Pr (0.0212, 0.1962, 0.0000)
Pr (0.0221, 0.1987, 0.3456)
Pr (0.0238, 0.2027, 0.6603)
Pr (0.1505, 0.6823, 0.8255)
Pr (0.1567, 0.6887, 0.5105)
Pr (0.1615, 0.6934, 0.1696)
Ga (0.0000, 0.0000, 0.2174)
Ga (0.0000, 0.0000, 0.4360)
Ga (0.0000, 0.0000, 0.7161)
Ga (0.0000, 0.0000, 0.9351)
Ga (0.0020, 0.6719, 0.3074)
Ga (0.0068, 0.3362, 0.8073)
Se (0.0003, 0.6613, 0.0976)
Se (0.0058, 0.3358, 0.9309)
Se (0.0067, 0.5484, 0.5896)
Se (0.0086, 0.1315, 0.1938)
Se (0.0121, 0.1246, 0.8611)
Se (0.0166, 0.1345, 0.5142)
Se (0.0179, 0.5496, 0.9258)
Se (0.0213, 0.5584, 0.2583)
Se (0.1249, 0.1129, 0.3633)
Se (0.1276, 0.3412, 0.0934)
Se (0.1290, 0.3572, 0.4257)
Se (0.1324, 0.1190, 0.0128)
Se (0.1337, 0.1204, 0.6924)
Se (0.1341, 0.3493, 0.7549)

**Total magnetic moment**: 0.00 Bohr magnetons per cell
**Raw formation energy**: -137 kJ per mole of atoms
**Final energy**: -5.175 eV per atom

=====

Record 2
This record from Alexandria describes a geometry-optimized CeZnCd structure. The functional is PBE-GGA.

Cell: 3.212 3.212 25.241 Å, 90.00 90.00 90.00°
Space group I4/mmm (No. 139)
Asymmetric unit:
Ce (0.000, 0.000, 0.053)
Zn (0.000, 0.000, 0.362)
Cd (0.000, 0.000, 0.207)

**D(E_F)**: 4.1 states/eV/f.u.
**E_form**: -15 meV per atom
**Total magnetic moment**: 1.67 Bohr magnetons per cell
**Final energy**: -2.722 eV per atom

=====

Record 3
This record from Alexandria describes a geometry-optimized ZnCdSb structure. The functional is PBE-GGA.

Cell: 4.146 4.915 13.486 Å, 90.00 90.00 90.00°
Space group Fmm2 (No. 42)
Asymmetric unit:
Zn (0.000, 0.000, 0.000)
Cd (0.000, 0.000, 0.645)
Sb (0.000, 0.000, 0.340)

**D(E_F)**: 0.9 states/eV/f.u.
**Offset from the most stable computed form**: 109.9 meV/atom
**Total magnetic moment**: 0.00 Bohr magnetons per cell
**Raw formation energy**: 14 kJ per mole of atoms
**Final energy**: -1.955 eV per atom

=====

Record 4
This record from Alexandria describes a geometry-optimized LaTlPCl2 structure. The functional is PBE-GGA.

Cell: 5.564 5.564 5.712 Å, 90.00 90.00 90.00°
Space group P4/mmm (No. 123)
Asymmetric unit:
La (0.000, 0.000, 0.000)
Tl (0.500, 0.500, 0.500)
P (0.000, 0.000, 0.500)
Cl (0.000, 0.500, 0.000)

**D(E_F)**: 2.9 states/eV/f.u.
**Offset from the most stable computed form**: 0.0 meV/atom
**Total magnetic moment**: 0.69 Bohr magnetons per cell
**Raw formation energy**: -103 kJ per mole of atoms
**Final energy**: -4.343 eV per atom

=====

Among the records above, which one has the lowest final energy?
Pr9Ga5Se21

=====

The lowest final energy belongs to which entry?
Pr9Ga5Se21

=====

What is the formula in the second record?
CeZnCd